Below is an optimized crystal structure of PrEr2TmTl2, with properties calculated at the PBE-GGA level. Values from VASP.

```
&SYSTEM
  ibrav = 0, nat = 12, ntyp = 4
/
ATOMIC_SPECIES
Tl 204.38 Tl.upf
Tm 168.93 Tm.upf
Er 167.26 Er.upf
Pr 140.91 Pr.upf
CELL_PARAMETERS angstrom
-3.0205 -2.5150 -3.2826
-2.9666 -3.2464 5.2170
-6.8059 7.2978 0.6711
ATOMIC_POSITIONS crystal
Tl 0.0000 0.7976 0.1321
Tm 0.5000 0.6782 0.3051
Er 0.5000 0.0504 0.0448
Tm 0.5000 0.1782 0.6949
Tl 0.5000 0.2228 0.3604
Tl 0.5000 0.7228 0.6396
Pr 0.0000 0.9574 0.4572
Er 0.0000 0.3392 0.1813
Er 0.0000 0.8392 0.8187
Er 0.5000 0.5504 0.9552
Tl 0.0000 0.2976 0.8679
Pr 0.0000 0.4574 0.5428
```

energy of formation	-0.26	eV per atom
crystal system	orthorhombic



Below is an optimized crystal structure of BaAgSn2Se6, with properties calculated at the PBE-GGA level. Values from VASP.

```
&SYSTEM
  ibrav = 0, nat = 20, ntyp = 4
/
ATOMIC_SPECIES
Ag 107.87 Ag.upf
Se 78.96 Se.upf
Sn 118.71 Sn.upf
Ba 137.33 Ba.upf
CELL_PARAMETERS angstrom
7.1669 0.7801 0.8096
3.1970 9.6182 1.0690
3.1970 0.7118 9.6512
ATOMIC_POSITIONS crystal
Ag 0.7500 0.8928 0.1072
Se 0.9005 0.3688 0.9510
Se 0.0995 0.6312 0.0490
Se 0.3013 0.6037 0.6384
Se 0.5995 0.0490 0.6312
Sn 0.0780 0.3791 0.1656
Se 0.8013 0.6384 0.6037
Sn 0.9220 0.6209 0.8344
Se 0.0777 0.9736 0.8246
Sn 0.5780 0.1656 0.3791
Se 0.5777 0.8246 0.9736
Se 0.9223 0.0264 0.1754
Ba 0.2500 0.6960 0.3040
Sn 0.4220 0.8344 0.6209
Ba 0.7500 0.3040 0.6960
Se 0.1987 0.3616 0.3963
Se 0.4223 0.1754 0.0264
Se 0.4005 0.9510 0.3688
Se 0.6987 0.3963 0.3616
Ag 0.2500 0.1072 0.8928
```

formation energy from raw total energies	-587	meV/atom
crystal system	monoclinic



Below is an optimized crystal structure of CaPuRuPt, with properties calculated at the PBE-GGA level. Values from VASP.

```
&SYSTEM
  ibrav = 0, nat = 4, ntyp = 4
/
ATOMIC_SPECIES
Pt 195.08 Pt.upf
Ca 40.08 Ca.upf
Ru 101.07 Ru.upf
Pu 244.00 Pu.upf
CELL_PARAMETERS angstrom
4.8509 0.0000 0.0000
2.4255 4.2010 0.0000
2.4255 1.4003 3.9607
ATOMIC_POSITIONS crystal
Pt 0.7500 0.7500 0.7500
Ca 0.0000 0.0000 0.0000
Ru 0.2500 0.2500 0.2500
Pu 0.5000 0.5000 0.5000
```

energy of formation	-0.32	eV per atom
crystal system	cubic



Below is an optimized crystal structure of Ce2ZnSi4Au3, with properties calculated at the PBE-GGA level. Values from VASP.

```
&SYSTEM
  ibrav = 0, nat = 10, ntyp = 4
/
ATOMIC_SPECIES
Si 28.09 Si.upf
Zn 65.41 Zn.upf
Au 196.97 Au.upf
Ce 140.12 Ce.upf
CELL_PARAMETERS angstrom
-0.8103 3.9405 1.7054
-2.2199 1.1011 -3.5989
-8.4893 -3.5430 4.1525
ATOMIC_POSITIONS crystal
Si 0.0000 0.5000 0.3671
Si 0.5000 0.5000 0.0000
Si 0.5000 0.0000 0.6329
Zn 0.5000 0.5000 0.5000
Au 0.0000 0.0000 0.5000
Ce 0.0000 0.5000 0.7505
Si 0.0000 0.0000 0.0000
Au 0.5000 0.0000 0.8751
Ce 0.5000 0.0000 0.2495
Au 0.0000 0.5000 0.1249
```

formation energy from raw total energies	-503	meV/atom
crystal system	tetragonal



Below is an optimized crystal structure of TbPuGaGe, with properties calculated at the PBE-GGA level. Values from VASP.

```
&SYSTEM
  ibrav = 0, nat = 4, ntyp = 4
/
ATOMIC_SPECIES
Tb 158.93 Tb.upf
Ge 72.64 Ge.upf
Pu 244.00 Pu.upf
Ga 69.72 Ga.upf
CELL_PARAMETERS angstrom
5.0526 0.0000 0.0000
2.5263 4.3757 0.0000
2.5263 1.4586 4.1254
ATOMIC_POSITIONS crystal
Tb 0.7500 0.7500 0.7500
Ge 0.0000 0.0000 0.0000
Pu 0.2500 0.2500 0.2500
Ga 0.5000 0.5000 0.5000
```

energy of formation	-0.46	eV per atom
crystal system	cubic



| no. | DFT total energy (eV/atom) | D(E_F) (states/eV/cell) |
| --- | --- | --- |
| 1 | -4.110 | 11.48 |
| 2 | -3.955 | 5.75 |
| 3 | -8.235 | 7.11 |
| 4 | -4.969 | 13.75 |
| 5 | -7.107 | 8.72 |